Here is an optimized crystal structure of HfSc2TlB from the Alexandria database. Energies are from PBE-GGA.

Lattice parameters (Å, degrees): 4.645 4.645 4.653 90.00 90.00 90.00
Positions (direct):
Hf  0.000  0.000  0.000
Sc  0.000  0.500  0.500
Sc  0.500  0.000  0.500
Tl  0.500  0.500  0.000
B  0.000  0.000  0.500

Summary:
VASP energy: -6.69 eV per atom
magnetization: 0.0 μB per cell